Record 1
VASP calculation (PBE) on an optimized crystal structure of LaZrSn3.

Output
* polymorph energy (0 for the lowest one): 0.0 meV/atom
* V: 164.6 Å³ per cell
* calculated total energy: -0.1915 Ha/atom
* symmetry: Pm-3m
* N(E_F): 4.4 states/eV/f.u.
* formation energy: -0.114 eV/atom

a = 5.4806 Å, b = 5.4806 Å, c = 5.4806 Å
α = 90.00°, β = 90.00°, γ = 90.00°
Element x y z (fractional)
La 0.0000 0.0000 0.0000
Zr 0.5000 0.5000 0.5000
Sn 0.0000 0.5000 0.5000
Sn 0.5000 0.0000 0.5000
Sn 0.5000 0.5000 0.0000

Record 2
VASP calculation (PBE) on an optimized crystal structure of AlRh.

Output
* V: 171.1 Å³ per cell
* calculated total energy: -0.2302 Ha/atom
* symmetry: P2/m
* N(E_F): 0.9 states/eV/f.u.
* formation energy: -0.718 eV/atom

a = 5.7704 Å, b = 4.3182 Å, c = 7.0342 Å
α = 90.00°, β = 102.53°, γ = 90.00°
Element x y z (fractional)
Al 0.1030 0.0000 0.3382
Al 0.1760 0.5000 0.6877
Al 0.2626 0.0000 0.0089
Al 0.7374 0.0000 0.9911
Al 0.8240 0.5000 0.3123
Al 0.8970 0.0000 0.6618
Rh 0.0000 0.5000 0.0000
Rh 0.2984 0.5000 0.3651
Rh 0.3823 0.0000 0.6802
Rh 0.5000 0.5000 0.0000
Rh 0.6177 0.0000 0.3198
Rh 0.7016 0.5000 0.6349

Record 3
VASP calculation (PBE) on an optimized crystal structure of CaAg2Pd.

Output
* polymorph energy (0 for the lowest one): 0.0 meV/atom
* V: 168.9 Å³ per cell
* calculated total energy: -0.1312 Ha/atom
* symmetry: P2_1/m
* N(E_F): 1.2 states/eV/f.u.
* formation energy: -0.345 eV/atom

a = 4.4604 Å, b = 7.6292 Å, c = 5.4380 Å
α = 90.00°, β = 114.13°, γ = 90.00°
Element x y z (fractional)
Ca 0.0737 0.2500 0.1461
Ca 0.9263 0.7500 0.8539
Ag 0.3627 0.0578 0.7251
Ag 0.3627 0.4422 0.7251
Ag 0.6373 0.5578 0.2749
Ag 0.6373 0.9422 0.2749
Pd 0.2180 0.7500 0.4368
Pd 0.7820 0.2500 0.5632

Record 4
VASP calculation (PBE) on an optimized crystal structure of HfB2Ru2.

Output
* V: 118.7 Å³ per cell
* calculated total energy: -0.3181 Ha/atom
* symmetry: P4/mbm
* N(E_F): 2.8 states/eV/f.u.
* formation energy: -0.284 eV/atom

a = 6.3525 Å, b = 6.3525 Å, c = 2.9407 Å
α = 90.00°, β = 90.00°, γ = 90.00°
Element x y z (fractional)
Hf 0.0000 0.0000 0.0000
Hf 0.5000 0.5000 0.0000
B 0.1086 0.3914 0.0000
B 0.3914 0.8914 0.0000
B 0.6086 0.1086 0.0000
B 0.8914 0.6086 0.0000
Ru 0.1611 0.6611 0.5000
Ru 0.3389 0.1611 0.5000
Ru 0.6611 0.8389 0.5000
Ru 0.8389 0.3389 0.5000

Record 5
VASP calculation (PBE) on an optimized crystal structure of Ba2InFe.

Output
* V: 153.4 Å³ per cell
* calculated total energy: -0.1320 Ha/atom
* symmetry: Amm2
* N(E_F): 5.5 states/eV/f.u.
* formation energy: 0.169 eV/atom

a = 4.8620 Å, b = 6.5975 Å, c = 6.5975 Å
α = 46.47°, β = 90.00°, γ = 90.00°
Element x y z (fractional)
Ba 0.0000 0.0000 0.0000
Ba 0.5000 0.2881 0.2881
In 0.5000 0.5934 0.5934
Fe 0.0000 0.6820 0.6820

Record 6
VASP calculation (PBE) on an optimized crystal structure of InTcGe2.

Output
* V: 211.2 Å³ per cell
* calculated total energy: -0.1851 Ha/atom
* symmetry: I-42d
* N(E_F): 2.5 states/eV/f.u.
* formation energy: 0.548 eV/atom

a = 7.1906 Å, b = 7.1906 Å, c = 7.1906 Å
α = 130.30°, β = 130.30°, γ = 72.92°
Element x y z (fractional)
In 0.0000 0.0000 0.0000
In 0.7500 0.2500 0.5000
Tc 0.2500 0.7500 0.5000
Tc 0.5000 0.5000 0.0000
Ge 0.1843 0.6250 0.0593
Ge 0.3750 0.4343 0.5593
Ge 0.5657 0.1250 0.9407
Ge 0.8750 0.8157 0.4407

Record 7
VASP calculation (PBE) on an optimized crystal structure of Li3TmCu8.

Output
* V: 173.4 Å³ per cell
* calculated total energy: -0.1363 Ha/atom
* symmetry: R3m
* N(E_F): 7.2 states/eV/f.u.
* formation energy: -0.127 eV/atom

a = 8.5790 Å, b = 8.5790 Å, c = 8.5790 Å
α = 33.73°, β = 33.73°, γ = 33.73°
Element x y z (fractional)
Li 0.0000 0.0000 0.0000
Li 0.1163 0.1163 0.1163
Li 0.4838 0.4838 0.4838
Tm 0.6145 0.6145 0.6145
Cu 0.0504 0.0504 0.5516
Cu 0.0504 0.5516 0.0504
Cu 0.0536 0.5525 0.5525
Cu 0.3026 0.3026 0.3026
Cu 0.5516 0.0504 0.0504
Cu 0.5525 0.0536 0.5525
Cu 0.5525 0.5525 0.0536
Cu 0.8017 0.8017 0.8017

Record 8
VASP calculation (PBE) on an optimized crystal structure of CuSb.

Output
* raw formation energy: 269 meV/atom
* V: 200.8 Å³ per cell
* calculated total energy: -0.1411 Ha/atom
* symmetry: P4_2/mnm
* N(E_F): 0.9 states/eV/f.u.

a = 7.3872 Å, b = 7.3872 Å, c = 3.6802 Å
α = 90.00°, β = 90.00°, γ = 90.00°
Element x y z (fractional)
Cu 0.1207 0.1207 0.0000
Cu 0.3793 0.6207 0.5000
Cu 0.6207 0.3793 0.5000
Cu 0.8793 0.8793 0.0000
Sb 0.2143 0.7857 0.0000
Sb 0.2857 0.2857 0.5000
Sb 0.7143 0.7143 0.5000
Sb 0.7857 0.2143 0.0000

Q: Which value of V does entry 1 give?
A: 164.6 Å³ per cell

Q: Among the records above, which one has the lowest V?
A: HfB2Ru2